{
  "formula": "HfTcNi",
  "functional": "PBE",
  "state": "relaxed",
  "e_form_ev_per_atom": -0.288,
  "cell": [[3.056, 0.000, 0.017], [0.000, 4.153, 0.000], [-0.209, 0.000, 7.386]],
  "species": ["Tc", "Tc", "Ni", "Ni", "Hf", "Hf"],
  "frac_coords": [[0.347, 0.250, 0.063], [0.653, 0.750, 0.937], [0.508, 0.750, 0.597], [0.492, 0.250, 0.403], [0.030, 0.250, 0.706], [0.970, 0.750, 0.294]]
}

=====

{
  "formula": "Y3Tm4Sb4",
  "functional": "PBE",
  "state": "relaxed",
  "raw_formation_energy_ev_per_atom": -0.749,
  "cell": [[4.062, 0.000, 0.000], [0.000, 9.123, 0.000], [-2.031, -4.562, 8.463]],
  "species": ["Tm", "Tm", "Tm", "Tm", "Y", "Y", "Y", "Sb", "Sb", "Sb", "Sb"],
  "frac_coords": [[0.669, 0.482, 0.339], [0.669, 0.857, 0.339], [0.331, 0.143, 0.661], [0.331, 0.518, 0.661], [0.897, 0.897, 0.795], [0.103, 0.103, 0.205], [0.000, 0.500, 0.000], [0.500, 0.207, 0.000], [0.740, 0.240, 0.480], [0.500, 0.793, 0.000], [0.260, 0.760, 0.520]]
}

=====

{
  "formula": "Dy4Ga21Ni10",
  "functional": "PBE",
  "state": "relaxed",
  "e_form_ev_per_atom": -0.510,
  "cell": [[10.661, -0.027, -0.105], [9.873, 4.021, -0.105], [8.602, 1.674, 12.545]],
  "species": ["Ga", "Ga", "Ga", "Ga", "Ga", "Ga", "Ga", "Ga", "Ga", "Ga", "Ga", "Ga", "Ga", "Ga", "Ga", "Ga", "Ga", "Ga", "Ga", "Ga", "Ga", "Ni", "Ni", "Ni", "Ni", "Ni", "Ni", "Ni", "Ni", "Ni", "Ni", "Dy", "Dy", "Dy", "Dy"],
  "frac_coords": [[0.627, 0.627, 0.304], [0.373, 0.373, 0.696], [0.934, 0.934, 0.297], [0.387, 0.387, 0.204], [0.249, 0.249, 0.205], [0.298, 0.298, 0.002], [0.066, 0.066, 0.703], [0.399, 0.399, 0.500], [0.541, 0.541, 0.132], [0.601, 0.601, 0.500], [0.702, 0.702, 0.998], [0.007, 0.007, 0.408], [0.613, 0.613, 0.796], [0.459, 0.459, 0.868], [0.500, 0.500, 0.000], [0.800, 0.800, 0.503], [0.200, 0.200, 0.497], [0.883, 0.883, 0.054], [0.751, 0.751, 0.795], [0.117, 0.117, 0.946], [0.993, 0.993, 0.592], [0.977, 0.977, 0.106], [0.867, 0.867, 0.606], [0.249, 0.249, 0.884], [0.751, 0.751, 0.116], [0.347, 0.347, 0.390], [0.023, 0.023, 0.894], [0.498, 0.498, 0.684], [0.502, 0.502, 0.316], [0.133, 0.133, 0.394], [0.653, 0.653, 0.610], [0.229, 0.229, 0.676], [0.771, 0.771, 0.324], [0.879, 0.879, 0.835], [0.121, 0.121, 0.165]]
}

=====

| no. | total magnetization (μB/atom) |
| --- | --- |
| 1 | 0.000 |
| 2 | 0.016 |
| 3 | 0.000 |